Record 1
Here is a relaxed Rb2TlMoBr6 crystal from Alexandria via LeMat-Bulk. Energies are from PBE-GGA.

## Properties
- uncorrected formation energy (eV per formula unit) = -10.7
- energy above the lowest structure with this stoichiometry (kJ per mole of atoms) = 0.0

abc: 7.739 11.498 8.814
angles: 90.00 90.00 90.00
Space group Pmmn (No. 59, origin choice 2)
One atom of each set of equivalent atoms:
Rb  0.250  0.036  0.190 x4
Tl  0.250  0.250  0.697 x2
Mo  0.250  0.750  0.795 x2
Br  0.007  0.750  0.589 x4
Br  0.015  0.750  0.010 x4
Br  0.250  0.522  0.795 x4


Record 2
Here is a relaxed NaLaTeF2 crystal from Alexandria via LeMat-Bulk. Energies are from PBE-GGA.

## Properties
- uncorrected formation energy (eV per formula unit) = -13.5
- energy above the lowest structure with this stoichiometry (kJ per mole of atoms) = 0.0
- D(E_F) (states/eV per cell) = 0.00

abc: 4.661 4.661 6.483
angles: 90.00 90.00 90.00
Space group P4/mmm (No. 123)
One atom of each set of equivalent atoms:
Na  0.000  0.000  0.000 x1
La  0.500  0.500  0.500 x1
Te  0.500  0.500  0.000 x1
F  0.000  0.500  0.500 x2


Record 3
Here is a relaxed BaSr2I crystal from Alexandria via LeMat-Bulk. Energies are from PBE-GGA.

## Properties
- uncorrected formation energy (eV per formula unit) = -1.6
- energy above the lowest structure with this stoichiometry (kJ per mole of atoms) = 19.4
- D(E_F) (states/eV per cell) = 20.83

abc: 10.733 10.733 7.648
angles: 90.00 90.00 90.00
Space group I-42d (No. 122)
One atom of each set of equivalent atoms:
Ba  0.000  0.000  0.000 x4
Sr  0.176  0.250  0.625 x8
I  0.000  0.000  0.500 x4


Record 4
Here is a relaxed Mg5Ag crystal from Alexandria via LeMat-Bulk. Energies are from PBE-GGA.

## Properties
- calculated formation energy (kcal/mol of atoms) = 2.34
- D(E_F) (states/eV per cell) = 4.44

abc: 8.111 8.111 8.111
angles: 90.00 90.00 90.00
Space group F-43m (No. 216)
One atom of each set of equivalent atoms:
Mg  0.000  0.000  0.000 x4
Mg  0.125  0.125  0.375 x16
Ag  0.250  0.250  0.750 x4


Record 5
Here is a relaxed KMo2Br crystal from Alexandria via LeMat-Bulk. Energies are from PBE-GGA.

## Properties
- uncorrected formation energy (eV per formula unit) = 1.0
- energy above the lowest structure with this stoichiometry (kJ per mole of atoms) = 0.0
- D(E_F) (states/eV per cell) = 1.59

abc: 3.389 3.250 8.693
angles: 90.00 98.53 90.00
Space group Pm (No. 6)
One atom of each set of equivalent atoms:
K  0.000  0.000  0.000 x1
Mo  0.345  0.500  0.662 x1
Mo  0.720  0.000  0.526 x1
Br  0.598  0.500  0.260 x1


Record 6
Here is a relaxed Sm5HoTl crystal from Alexandria via LeMat-Bulk. Energies are from PBE-GGA.

## Properties
- calculated formation energy (kcal/mol of atoms) = 4.12
- energy above the lowest structure with this stoichiometry (kJ per mole of atoms) = 0.0
- D(E_F) (states/eV per cell) = 10.14

abc: 4.785 4.785 10.444
angles: 90.00 90.00 90.00
Space group P4/mmm (No. 123)
One atom of each set of equivalent atoms:
Sm  0.000  0.000  0.000 x1
Sm  0.000  0.500  0.244 x4
Ho  0.500  0.500  0.500 x1
Tl  0.500  0.500  0.000 x1


| no. | ρ (Mg/m³) |
| --- | --- |
| 1 | 4.03 |
| 2 | 3.86 |
| 3 | 3.31 |
| 4 | 2.86 |
| 5 | 5.45 |
| 6 | 7.78 |